# 1
# Ac7Ni5 PBE optimized geometry
data_Ac7Ni5
_chemical_formula_sum 'Ac7 Ni5'
_cell_length_a 7.309
_cell_length_b 7.309
_cell_length_c 12.944
_cell_angle_alpha 103.65
_cell_angle_beta 103.65
_cell_angle_gamma 33.15
_symmetry_space_group_name_H-M 'P 1'
_symmetry_Int_Tables_number 1
_symmetry_space_group_name_Hall 'P 1'
loop_
_atom_site_label
_atom_site_type_symbol
_atom_site_fract_x
_atom_site_fract_y
_atom_site_fract_z
_atom_site_occupancy
Ac1 Ac 0.000 0.000 0.000 1
Ac2 Ac 0.153 0.153 0.552 1
Ac3 Ac 0.238 0.238 0.861 1
Ac4 Ac 0.460 0.460 0.715 1
Ac5 Ac 0.540 0.540 0.285 1
Ac6 Ac 0.762 0.762 0.139 1
Ac7 Ac 0.847 0.847 0.448 1
Ni1 Ni 0.198 0.198 0.322 1
Ni2 Ni 0.385 0.385 0.073 1
Ni3 Ni 0.500 0.500 0.500 1
Ni4 Ni 0.615 0.615 0.927 1
Ni5 Ni 0.802 0.802 0.678 1
# energy of formation from the pure elements = -2.189 eV per formula unit
# E_tot = -4.99 eV per atom
# Fermi-level density of states = 9.40 states/eV per cell



# 2
# YBPPd2 PBE optimized geometry
data_YBPPd2
_chemical_formula_sum 'Y1 B1 P1 Pd2'
_cell_length_a 5.106
_cell_length_b 5.106
_cell_length_c 5.234
_cell_angle_alpha 90.00
_cell_angle_beta 90.00
_cell_angle_gamma 90.00
_symmetry_space_group_name_H-M 'P 1'
_symmetry_Int_Tables_number 1
_symmetry_space_group_name_Hall 'P 1'
loop_
_atom_site_label
_atom_site_type_symbol
_atom_site_fract_x
_atom_site_fract_y
_atom_site_fract_z
_atom_site_occupancy
Y1 Y 0.000 0.000 0.000 1
B1 B 0.500 0.500 0.500 1
P1 P 0.000 0.000 0.500 1
Pd1 Pd 0.000 0.500 0.000 1
Pd2 Pd 0.500 0.000 0.000 1
# energy of formation from the pure elements = 7.816 eV per formula unit
# E_tot = -4.22 eV per atom
# Fermi-level density of states = 4.59 states/eV per cell



# 3
# CsY2Hf PBE optimized geometry
data_CsY2Hf
_chemical_formula_sum 'Cs2 Y4 Hf2'
_cell_length_a 11.929
_cell_length_b 11.929
_cell_length_c 11.929
_cell_angle_alpha 156.37
_cell_angle_beta 156.37
_cell_angle_gamma 33.66
_symmetry_space_group_name_H-M 'P 1'
_symmetry_Int_Tables_number 1
_symmetry_space_group_name_Hall 'P 1'
loop_
_atom_site_label
_atom_site_type_symbol
_atom_site_fract_x
_atom_site_fract_y
_atom_site_fract_z
_atom_site_occupancy
Cs1 Cs 0.000 0.000 0.000 1
Cs2 Cs 0.750 0.250 0.500 1
Y1 Y 0.144 0.625 0.019 1
Y2 Y 0.375 0.394 0.519 1
Y3 Y 0.606 0.125 0.981 1
Y4 Y 0.875 0.856 0.481 1
Hf1 Hf 0.250 0.750 0.500 1
Hf2 Hf 0.500 0.500 0.000 1
# energy of formation from the pure elements = 4.902 eV per formula unit
# E_tot = -4.71 eV per atom
# offset from the most stable computed form = 310 meV/atom
# Fermi-level density of states = 13.62 states/eV per cell



# 4
# DyTm3Pu PBE optimized geometry
data_DyTm3Pu
_chemical_formula_sum 'Dy2 Tm6 Pu2'
_cell_length_a 6.280
_cell_length_b 6.280
_cell_length_c 8.600
_cell_angle_alpha 108.66
_cell_angle_beta 108.66
_cell_angle_gamma 93.78
_symmetry_space_group_name_H-M 'P 1'
_symmetry_Int_Tables_number 1
_symmetry_space_group_name_Hall 'P 1'
loop_
_atom_site_label
_atom_site_type_symbol
_atom_site_fract_x
_atom_site_fract_y
_atom_site_fract_z
_atom_site_occupancy
Dy1 Dy 0.211 0.211 0.120 1
Dy2 Dy 0.789 0.789 0.880 1
Tm1 Tm 0.114 0.750 0.286 1
Tm2 Tm 0.250 0.886 0.714 1
Tm3 Tm 0.333 0.333 0.567 1
Tm4 Tm 0.667 0.667 0.433 1
Tm5 Tm 0.750 0.114 0.286 1
Tm6 Tm 0.886 0.250 0.714 1
Pu1 Pu 0.350 0.650 0.000 1
Pu2 Pu 0.650 0.350 0.000 1
# energy of formation from the pure elements = 0.717 eV per formula unit
# E_tot = -6.33 eV per atom
# Fermi-level density of states = 20.89 states/eV per cell



# 5
# V6ReOs5 PBE optimized geometry
data_V6ReOs5
_chemical_formula_sum 'V6 Re1 Os5'
_cell_length_a 6.776
_cell_length_b 6.776
_cell_length_c 6.031
_cell_angle_alpha 90.00
_cell_angle_beta 90.00
_cell_angle_gamma 143.18
_symmetry_space_group_name_H-M 'P 1'
_symmetry_Int_Tables_number 1
_symmetry_space_group_name_Hall 'P 1'
loop_
_atom_site_label
_atom_site_type_symbol
_atom_site_fract_x
_atom_site_fract_y
_atom_site_fract_z
_atom_site_occupancy
V1 V 0.000 0.000 0.247 1
V2 V 0.000 0.000 0.753 1
V3 V 0.335 0.665 0.248 1
V4 V 0.335 0.665 0.752 1
V5 V 0.665 0.335 0.248 1
V6 V 0.665 0.335 0.752 1
Re1 Re 0.500 0.500 0.000 1
Os1 Os 0.168 0.832 0.000 1
Os2 Os 0.168 0.832 0.500 1
Os3 Os 0.500 0.500 0.500 1
Os4 Os 0.832 0.168 0.000 1
Os5 Os 0.832 0.168 0.500 1
# energy of formation from the pure elements = -3.152 eV per formula unit
# E_tot = -10.54 eV per atom
# Fermi-level density of states = 14.49 states/eV per cell



# 6
# SrIrRu2 PBE optimized geometry
data_SrIrRu2
_chemical_formula_sum 'Sr1 Ir1 Ru2'
_cell_length_a 9.916
_cell_length_b 9.916
_cell_length_c 9.916
_cell_angle_alpha 16.48
_cell_angle_beta 16.48
_cell_angle_gamma 16.48
_symmetry_space_group_name_H-M 'P 1'
_symmetry_Int_Tables_number 1
_symmetry_space_group_name_Hall 'P 1'
loop_
_atom_site_label
_atom_site_type_symbol
_atom_site_fract_x
_atom_site_fract_y
_atom_site_fract_z
_atom_site_occupancy
Sr1 Sr 0.000 0.000 0.000 1
Ir1 Ir 0.500 0.500 0.500 1
Ru1 Ru 0.239 0.239 0.239 1
Ru2 Ru 0.761 0.761 0.761 1
# energy of formation from the pure elements = 3.178 eV per formula unit
# E_tot = -6.48 eV per atom
# offset from the most stable computed form = 397 meV/atom
# Fermi-level density of states = 6.99 states/eV per cell



# 7
# Cs2TlCd2Cl7 PBE optimized geometry
data_Cs2TlCd2Cl7
_chemical_formula_sum 'Cs2 Tl1 Cd2 Cl7'
_cell_length_a 5.316
_cell_length_b 5.316
_cell_length_c 14.206
_cell_angle_alpha 100.77
_cell_angle_beta 100.77
_cell_angle_gamma 90.00
_symmetry_space_group_name_H-M 'P 1'
_symmetry_Int_Tables_number 1
_symmetry_space_group_name_Hall 'P 1'
loop_
_atom_site_label
_atom_site_type_symbol
_atom_site_fract_x
_atom_site_fract_y
_atom_site_fract_z
_atom_site_occupancy
Cs1 Cs 0.179 0.179 0.360 1
Cs2 Cs 0.821 0.821 0.640 1
Tl1 Tl 0.000 0.000 0.000 1
Cd1 Cd 0.405 0.405 0.807 1
Cd2 Cd 0.595 0.595 0.193 1
Cl1 Cl 0.090 0.590 0.182 1
Cl2 Cl 0.309 0.309 0.618 1
Cl3 Cl 0.410 0.910 0.818 1
Cl4 Cl 0.500 0.500 0.000 1
Cl5 Cl 0.590 0.090 0.182 1
Cl6 Cl 0.691 0.691 0.382 1
Cl7 Cl 0.910 0.410 0.818 1
# E_tot = -2.96 eV per atom
# Fermi-level density of states = 0.00 states/eV per cell



# 8
# PPdC3 PBE optimized geometry
data_PPdC3
_chemical_formula_sum 'P1 Pd1 C3'
_cell_length_a 4.022
_cell_length_b 4.022
_cell_length_c 4.022
_cell_angle_alpha 90.00
_cell_angle_beta 90.00
_cell_angle_gamma 90.00
_symmetry_space_group_name_H-M 'P 1'
_symmetry_Int_Tables_number 1
_symmetry_space_group_name_Hall 'P 1'
loop_
_atom_site_label
_atom_site_type_symbol
_atom_site_fract_x
_atom_site_fract_y
_atom_site_fract_z
_atom_site_occupancy
P1 P 0.000 0.000 0.000 1
Pd1 Pd 0.500 0.500 0.500 1
C1 C 0.000 0.500 0.500 1
C2 C 0.500 0.000 0.500 1
C3 C 0.500 0.500 0.000 1
# energy of formation from the pure elements = 14.469 eV per formula unit
# E_tot = -4.76 eV per atom
# offset from the most stable computed form = 963 meV/atom
# Fermi-level density of states = 2.64 states/eV per cell



# 9
# VCr2BiAu PBE optimized geometry
data_VCr2BiAu
_chemical_formula_sum 'V1 Cr2 Bi1 Au1'
_cell_length_a 4.508
_cell_length_b 4.508
_cell_length_c 5.056
_cell_angle_alpha 90.00
_cell_angle_beta 90.00
_cell_angle_gamma 90.00
_symmetry_space_group_name_H-M 'P 1'
_symmetry_Int_Tables_number 1
_symmetry_space_group_name_Hall 'P 1'
loop_
_atom_site_label
_atom_site_type_symbol
_atom_site_fract_x
_atom_site_fract_y
_atom_site_fract_z
_atom_site_occupancy
V1 V 0.000 0.000 0.000 1
Cr1 Cr 0.000 0.500 0.000 1
Cr2 Cr 0.500 0.000 0.000 1
Bi1 Bi 0.500 0.500 0.500 1
Au1 Au 0.000 0.000 0.500 1
# energy of formation from the pure elements = 4.576 eV per formula unit
# E_tot = -6.19 eV per atom
# Fermi-level density of states = 5.06 states/eV per cell



# 10
# DyTh4As5 PBE optimized geometry
data_DyTh4As5
_chemical_formula_sum 'Dy1 Th4 As5'
_cell_length_a 7.325
_cell_length_b 7.325
_cell_length_c 7.325
_cell_angle_alpha 99.62
_cell_angle_beta 99.62
_cell_angle_gamma 131.75
_symmetry_space_group_name_H-M 'P 1'
_symmetry_Int_Tables_number 1
_symmetry_space_group_name_Hall 'P 1'
loop_
_atom_site_label
_atom_site_type_symbol
_atom_site_fract_x
_atom_site_fract_y
_atom_site_fract_z
_atom_site_occupancy
Dy1 Dy 0.000 0.000 0.000 1
Th1 Th 0.200 0.401 0.601 1
Th2 Th 0.401 0.800 0.201 1
Th3 Th 0.599 0.200 0.799 1
Th4 Th 0.800 0.599 0.399 1
As1 As 0.099 0.705 0.804 1
As2 As 0.295 0.099 0.394 1
As3 As 0.500 0.500 0.000 1
As4 As 0.705 0.901 0.606 1
As5 As 0.901 0.295 0.196 1
# energy of formation from the pure elements = -14.198 eV per formula unit
# E_tot = -7.17 eV per atom
# Fermi-level density of states = 5.80 states/eV per cell



Q: Among the records above, which one has the lowest Fermi-level density of states?
A: Cs2TlCd2Cl7